Entry one
Entry from Alexandria: TlAgIr2 after structural relaxation (PBE-GGA).

**Crystal system**: monoclinic
**SG**: Cm (8)

Unit cell a=4.507 b=4.507 c=6.382 alpha=81.39 beta=81.39 gamma=36.92
Sites, in units of the cell vectors:
Tl 0.496 0.496 0.512
Ag 0.254 0.254 0.218
Ir 0.003 0.003 0.954
Ir 0.747 0.747 0.816

Entry two
Entry from Alexandria: TlAgIr2 after structural relaxation (PBE-GGA).

**Crystal system**: tetragonal
**SG**: P4mm (99)

Unit cell a=2.886 b=2.886 c=8.785 alpha=90.00 beta=90.00 gamma=90.00
Sites, in units of the cell vectors:
Tl 0.000 0.000 0.483
Ir 0.500 0.500 0.212
Ir 0.000 0.000 0.021
Ag 0.500 0.500 0.784

Entry three
Entry from Alexandria: TlAgIr2 after structural relaxation (PBE-GGA).

**Crystal system**: orthorhombic
**SG**: Cmmm (65)

Unit cell a=4.911 b=4.911 c=2.975 alpha=90.00 beta=90.00 gamma=107.13
Sites, in units of the cell vectors:
Ir 0.000 0.000 0.000
Ir 0.500 0.500 0.000
Tl 0.500 0.000 0.500
Ag 0.000 0.500 0.500

entry two has the most favorable energy; the next structure is 81 meV/atom above.

Entry one
Entry from Alexandria: TlAgIr2 after structural relaxation (PBE-GGA).

**Crystal system**: monoclinic
**SG**: C2/m (12)

Unit cell a=4.951 b=4.951 c=5.021 alpha=79.91 beta=79.91 gamma=34.37
Sites, in units of the cell vectors:
Ir 0.498 0.498 0.487
Ir 0.002 0.002 0.013
Ag 0.250 0.250 0.250
Tl 0.750 0.750 0.750

Entry two
Entry from Alexandria: TlAgIr2 after structural relaxation (PBE-GGA).

**Crystal system**: tetragonal
**SG**: I-4m2 (119)

Unit cell a=4.888 b=4.888 c=4.888 alpha=128.98 beta=128.98 gamma=75.04
Sites, in units of the cell vectors:
Ir 0.000 0.000 0.000
Ir 0.250 0.750 0.500
Tl 0.500 0.500 0.000
Ag 0.750 0.250 0.500

entry one has the most favorable energy; the next structure is 104 meV/atom above.

Entry one
Entry from Alexandria: TlAgIr2 after structural relaxation (PBE-GGA).

**Crystal system**: trigonal
**SG**: R-3m (166)

Unit cell a=9.221 b=9.221 c=9.221 alpha=18.54 beta=18.54 gamma=18.54
Sites, in units of the cell vectors:
Ir 0.000 0.000 0.000
Ir 0.500 0.500 0.500
Tl 0.250 0.250 0.250
Ag 0.750 0.750 0.750

Entry two
Entry from Alexandria: TlAgIr2 after structural relaxation (PBE-GGA).

**Crystal system**: monoclinic
**SG**: P2/m (10)

Unit cell a=4.812 b=2.890 c=4.980 alpha=89.32 beta=90.00 gamma=90.00
Sites, in units of the cell vectors:
Ir 0.000 0.008 0.986
Ir 0.000 0.492 0.514
Tl 0.500 0.250 0.250
Ag 0.500 0.750 0.750

Entry three
Entry from Alexandria: TlAgIr2 after structural relaxation (PBE-GGA).

**Crystal system**: monoclinic
**SG**: Pm (6)

Unit cell a=3.728 b=2.834 c=7.483 alpha=78.09 beta=90.00 gamma=90.00
Sites, in units of the cell vectors:
Ir 0.500 0.447 0.181
Ir 0.000 0.025 0.037
Tl 0.000 0.363 0.496
Ag 0.500 0.665 0.786

Entry four
Entry from Alexandria: TlAgIr2 after structural relaxation (PBE-GGA).

**Crystal system**: orthorhombic
**SG**: Pmmm (47)

Unit cell a=2.939 b=4.050 c=5.775 alpha=90.00 beta=90.00 gamma=90.00
Sites, in units of the cell vectors:
Ir 0.000 0.000 0.509
Ir 0.000 0.000 0.991
Ag 0.500 0.500 0.750
Tl 0.500 0.500 0.250

entry three has the most favorable energy; the next structure is 123 meV/atom above.

Entry one
Entry from Alexandria: Tm4AgIr2 after structural relaxation (PBE-GGA).

**Crystal system**: monoclinic
**SG**: Cc (9)

Unit cell a=7.332 b=7.356 c=7.593 alpha=109.30 beta=109.17 gamma=108.62
Sites, in units of the cell vectors:
Tm 0.504 0.762 0.905
Tm 0.750 0.135 0.743
Tm 0.008 0.251 0.395
Tm 0.257 0.142 0.757
Tm 0.863 0.606 0.105
Tm 0.401 0.017 0.271
Tm 0.380 0.495 0.228
Tm 0.848 0.607 0.595
Ir 0.755 0.872 0.379
Ir 0.493 0.382 0.627
Ir 0.116 0.506 0.874
Ir 0.626 0.243 0.121
Ag 0.998 0.989 0.997
Ag 0.251 0.742 0.503

Entry two
Entry from Alexandria: Tm4AgIr2 after structural relaxation (PBE-GGA).

**Crystal system**: trigonal
**SG**: R-3m (166)

Unit cell a=4.832 b=4.832 c=8.308 alpha=73.09 beta=73.09 gamma=60.00
Sites, in units of the cell vectors:
Tm 0.620 0.620 0.139
Tm 0.380 0.380 0.861
Tm 0.871 0.871 0.386
Tm 0.129 0.129 0.614
Ir 0.749 0.749 0.753
Ir 0.251 0.251 0.247
Ag 0.000 0.000 0.000

entry two has the most favorable energy; the next structure is 66 meV/atom above.